The following is a GGA+U calculation of Li2VNiO after structural relaxation, from Alexandria via LeMat-Bulk.

## Properties
Space-group type: P4/mmm (123)
E_tot in eV/atom: -3.396
Total moment in μB/f.u.: 3.0

Cell: 4.5432 3.6332 4.5432 Å, 90.00 90.00 90.00°
Last column: magnetic moment on the atom in μB.
Positions (direct):
1 O 0.0000 0.5000 0.0000  -0.02
2 V 0.5000 0.5000 0.5000  2.88
3 Li 0.5000 0.0000 0.0000  0.02
4 Ni 0.0000 0.0000 0.0000  -0.49
5 Li 0.0000 0.0000 0.5000  0.04